Compound: RbPrCuBr5
Source: Alexandria
Functional: PBE
Structure: optimized geometry

Properties
For the total DFT energy (no corrections), the calculation gives -3.7080 eV per atom. Its uncorrected formation energy is -1.43 eV per atom. For the density of states at the Fermi level, the calculation gives 0.00 states/eV per cell. The total moment is 0.2 μB per formula unit.

POSCAR file:
```
RbPrCuBr5
1.0
4.7711 -6.3577 0.0000
4.7711 6.3577 0.0000
-4.2835 0.0000 9.9708
Rb Pr Cu Br
2 2 2 10
Direct
0.1432 0.8568 0.7500
0.8568 0.1432 0.2500
0.5000 0.5000 0.0000
0.5000 0.5000 0.5000
0.1903 0.8097 0.2500
0.8097 0.1903 0.7500
0.1120 0.2612 0.9258
0.1812 0.5923 0.3795
0.2612 0.1120 0.4258
0.4077 0.8188 0.1205
0.4127 0.5873 0.7500
0.5873 0.4127 0.2500
0.5923 0.1812 0.8795
0.7388 0.8880 0.5742
0.8188 0.4077 0.6205
0.8880 0.7388 0.0742
```